Entry 1
First-principles (PBE-GGA) data for a relaxed Pm7Y3Mg crystal, as listed in Alexandria.

The space group is C2/m. The value obtained for the size of the total moment is 0.00 μB per atom.

abc: 7.747 7.747 6.455
angles: 92.04 92.04 83.34
Fractional positions:
Pm 0.000 0.000 0.000
Pm 0.066 0.402 0.264
Pm 0.257 0.257 0.787
Pm 0.402 0.066 0.264
Pm 0.598 0.934 0.736
Pm 0.743 0.743 0.213
Pm 0.934 0.598 0.736
Y 0.335 0.665 0.000
Y 0.500 0.500 0.500
Y 0.665 0.335 0.000
Mg 0.000 0.000 0.500

---

Entry 2
First-principles (PBE-GGA) data for a relaxed Pm7Y3Mg crystal, as listed in Alexandria.

The space group is P3m1. The value obtained for the size of the total moment is 0.00 μB per atom.

abc: 7.113 7.113 8.687
angles: 90.00 90.00 120.00
Fractional positions:
Pm 0.000 0.000 0.000
Pm 0.001 0.500 0.001
Pm 0.329 0.164 0.668
Pm 0.500 0.500 0.001
Pm 0.500 0.999 0.001
Pm 0.836 0.164 0.668
Pm 0.836 0.671 0.668
Y 0.166 0.332 0.334
Y 0.166 0.834 0.334
Y 0.668 0.834 0.334
Mg 0.333 0.667 0.666

---

The most stable arrangement is entry 2, and the next structure is 45 meV/atom less stable.

---

Entry 1
First-principles (PBE-GGA) data for a relaxed PmYMg4 crystal, as listed in Alexandria.

The space group is F-43m. The value obtained for the size of the total moment is 0.00 μB per atom.

abc: 6.075 6.075 6.075
angles: 60.00 60.00 60.00
Fractional positions:
Pm 0.000 0.000 0.000
Y 0.750 0.750 0.750
Mg 0.375 0.375 0.375
Mg 0.375 0.375 0.875
Mg 0.375 0.875 0.375
Mg 0.875 0.375 0.375

---

Entry 2
First-principles (PBE-GGA) data for a relaxed PmYMg4 crystal, as listed in Alexandria.

The space group is C2/m. The value obtained for the size of the total moment is 0.06 μB per atom.

abc: 7.077 7.077 6.899
angles: 104.11 104.11 28.46
Fractional positions:
Pm 0.000 0.000 0.000
Y 0.000 0.000 0.500
Mg 0.322 0.322 0.165
Mg 0.325 0.325 0.659
Mg 0.675 0.675 0.341
Mg 0.678 0.678 0.835

---

The most stable arrangement is entry 1, and the next structure is 39 meV/atom less stable.

---

Entry 1
First-principles (PBE-GGA) data for a relaxed PmYMg crystal, as listed in Alexandria.

The space group is I4mm. The value obtained for the size of the total moment is 0.07 μB per atom.

abc: 6.917 6.917 6.917
angles: 148.47 148.47 45.19
Fractional positions:
Pm 0.000 0.000 0.000
Y 0.687 0.687 0.000
Mg 0.339 0.339 0.000

---

Entry 2
First-principles (PBE-GGA) data for a relaxed PmYMg crystal, as listed in Alexandria.

The space group is P3m1. The value obtained for the size of the total moment is 0.00 μB per atom.

abc: 5.496 5.496 3.449
angles: 90.00 90.00 120.00
Fractional positions:
Pm 0.000 0.000 0.000
Y 0.667 0.333 0.431
Mg 0.333 0.667 0.707

---

The most stable arrangement is entry 1, and the next structure is 89 meV/atom less stable.

---

Entry 1
First-principles (PBE-GGA) data for a relaxed Pm2Y2Mg crystal, as listed in Alexandria.

The space group is I4/mmm. The value obtained for the size of the total moment is 0.00 μB per atom.

abc: 11.980 11.980 11.980
angles: 162.42 162.42 24.96
Fractional positions:
Pm 0.195 0.195 0.000
Pm 0.805 0.805 0.000
Y 0.412 0.412 0.000
Y 0.588 0.588 0.000
Mg 0.000 0.000 0.000

---

Entry 2
First-principles (PBE-GGA) data for a relaxed Pm2Y2Mg crystal, as listed in Alexandria.

The space group is I4_1/amd. The value obtained for the size of the total moment is 0.00 μB per atom.

abc: 12.996 12.996 12.996
angles: 156.82 156.82 33.02
Fractional positions:
Pm 0.046 0.296 0.750
Pm 0.296 0.046 0.250
Pm 0.704 0.954 0.750
Pm 0.954 0.704 0.250
Y 0.198 0.448 0.750
Y 0.448 0.198 0.250
Y 0.552 0.802 0.750
Y 0.802 0.552 0.250
Mg 0.125 0.875 0.250
Mg 0.875 0.125 0.750

---

The most stable arrangement is entry 1, and the next structure is 207 meV/atom less stable.

---

Entry 1
First-principles (PBE-GGA) data for a relaxed Pm3YMg crystal, as listed in Alexandria.

The space group is C2/m. The value obtained for the size of the total moment is 0.00 μB per atom.

abc: 6.364 6.364 10.497
angles: 96.08 96.08 49.32
Fractional positions:
Pm 0.034 0.034 0.339
Pm 0.269 0.269 0.772
Pm 0.417 0.417 0.128
Pm 0.583 0.583 0.872
Pm 0.731 0.731 0.228
Pm 0.966 0.966 0.661
Y 0.345 0.345 0.447
Y 0.655 0.655 0.553
Mg 0.127 0.127 0.051
Mg 0.873 0.873 0.949

---

Entry 2
First-principles (PBE-GGA) data for a relaxed Pm3YMg crystal, as listed in Alexandria.

The space group is C2/m. The value obtained for the size of the total moment is 0.00 μB per atom.

abc: 6.822 6.822 12.971
angles: 92.46 92.46 32.10
Fractional positions:
Pm 0.133 0.133 0.472
Pm 0.269 0.269 0.745
Pm 0.352 0.352 0.056
Pm 0.648 0.648 0.944
Pm 0.731 0.731 0.255
Pm 0.867 0.867 0.528
Y 0.461 0.461 0.312
Y 0.539 0.539 0.688
Mg 0.055 0.055 0.129
Mg 0.945 0.945 0.871

---

The most stable arrangement is entry 2, and the next structure is 18 meV/atom less stable.

---

Entry 1
First-principles (PBE-GGA) data for a relaxed Pm7Y2Mg2 crystal, as listed in Alexandria.

The space group is Imm2. The value obtained for the size of the total moment is 0.02 μB per atom.

abc: 10.747 10.747 10.747
angles: 160.74 68.36 115.13
Fractional positions:
Pm 0.000 0.000 0.000
Pm 0.142 0.800 0.342
Pm 0.447 0.556 0.890
Pm 0.458 0.800 0.658
Pm 0.631 0.305 0.325
Pm 0.666 0.556 0.110
Pm 0.980 0.305 0.675
Y 0.268 0.053 0.215
Y 0.837 0.053 0.785
Mg 0.302 0.302 0.000
Mg 0.749 0.249 0.500

---

Entry 2
First-principles (PBE-GGA) data for a relaxed Pm7Y2Mg2 crystal, as listed in Alexandria.

The space group is C2/m. The value obtained for the size of the total moment is 0.00 μB per atom.

abc: 7.765 7.765 6.737
angles: 105.49 105.49 100.02
Fractional positions:
Pm 0.000 0.000 0.000
Pm 0.068 0.578 0.801
Pm 0.340 0.340 0.530
Pm 0.422 0.932 0.199
Pm 0.578 0.068 0.801
Pm 0.660 0.660 0.470
Pm 0.932 0.422 0.199
Y 0.139 0.861 0.500
Y 0.861 0.139 0.500
Mg 0.336 0.336 0.022
Mg 0.664 0.664 0.978

---

The most stable arrangement is entry 1, and the next structure is 60 meV/atom less stable.

---

Entry 1
First-principles (PBE-GGA) data for a relaxed PmY2Mg crystal, as listed in Alexandria.

The space group is P4/mmm. The value obtained for the size of the total moment is 0.00 μB per atom.

abc: 3.685 3.685 9.011
angles: 90.00 90.00 90.00
Fractional positions:
Pm 0.000 0.000 0.000
Y 0.500 0.500 0.277
Y 0.500 0.500 0.723
Mg 0.000 0.000 0.500

---

Entry 2
First-principles (PBE-GGA) data for a relaxed PmY2Mg crystal, as listed in Alexandria.

The space group is R3m. The value obtained for the size of the total moment is 0.00 μB per atom.

abc: 11.542 11.542 11.542
angles: 17.72 17.72 17.72
Fractional positions:
Pm 0.000 0.000 0.000
Y 0.419 0.419 0.419
Y 0.580 0.580 0.580
Mg 0.833 0.833 0.833

---

Entry 3
First-principles (PBE-GGA) data for a relaxed PmY2Mg crystal, as listed in Alexandria.

The space group is P4/mmm. The value obtained for the size of the total moment is 0.00 μB per atom.

abc: 4.951 4.951 4.985
angles: 90.00 90.00 90.00
Fractional positions:
Pm 0.000 0.000 0.000
Y 0.000 0.500 0.500
Y 0.500 0.000 0.500
Mg 0.500 0.500 0.000

---

Entry 4
First-principles (PBE-GGA) data for a relaxed PmY2Mg crystal, as listed in Alexandria.

The space group is Fm-3m. The value obtained for the size of the total moment is 0.01 μB per atom.

abc: 5.562 5.562 5.562
angles: 60.00 60.00 60.00
Fractional positions:
Pm 0.000 0.000 0.000
Y 0.250 0.250 0.250
Y 0.750 0.750 0.750
Mg 0.500 0.500 0.500

---

The most stable arrangement is entry 1, and the next structure is 53 meV/atom less stable.

---

Entry 1
First-principles (PBE-GGA) data for a relaxed PmY3Mg crystal, as listed in Alexandria.

The space group is P2_1/m. The value obtained for the size of the total moment is 0.00 μB per atom.

abc: 3.539 6.961 13.003
angles: 90.00 97.79 90.00
Fractional positions:
Pm 0.002 0.250 0.002
Pm 0.998 0.750 0.998
Y 0.206 0.750 0.412
Y 0.399 0.008 0.797
Y 0.399 0.492 0.797
Y 0.601 0.508 0.203
Y 0.601 0.992 0.203
Y 0.794 0.250 0.588
Mg 0.186 0.250 0.372
Mg 0.814 0.750 0.628

---

Entry 2
First-principles (PBE-GGA) data for a relaxed PmY3Mg crystal, as listed in Alexandria.

The space group is C2/m. The value obtained for the size of the total moment is 0.00 μB per atom.

abc: 6.772 6.772 12.828
angles: 92.88 92.88 31.98
Fractional positions:
Pm 0.234 0.234 0.256
Pm 0.766 0.766 0.744
Y 0.036 0.036 0.687
Y 0.147 0.147 0.945
Y 0.365 0.365 0.524
Y 0.635 0.635 0.476
Y 0.853 0.853 0.055
Y 0.964 0.964 0.313
Mg 0.445 0.445 0.873
Mg 0.555 0.555 0.127

---

The most stable arrangement is entry 2, and the next structure is 86 meV/atom less stable.

---

Entry 1
First-principles (PBE-GGA) data for a relaxed Pm6Y12Mg crystal, as listed in Alexandria.

The space group is R-3m. The value obtained for the size of the total moment is 0.00 μB per atom.

abc: 8.726 8.726 8.726
angles: 97.39 97.39 97.39
Fractional positions:
Pm 0.092 0.365 0.365
Pm 0.365 0.092 0.365
Pm 0.365 0.365 0.092
Pm 0.635 0.635 0.908
Pm 0.635 0.908 0.635
Pm 0.908 0.635 0.635
Y 0.090 0.090 0.667
Y 0.090 0.667 0.090
Y 0.238 0.500 0.762
Y 0.238 0.762 0.500
Y 0.333 0.910 0.910
Y 0.500 0.238 0.762
Y 0.500 0.762 0.238
Y 0.667 0.090 0.090
Y 0.762 0.238 0.500
Y 0.762 0.500 0.238
Y 0.910 0.333 0.910
Y 0.910 0.910 0.333
Mg 0.500 0.500 0.500

---

Entry 2
First-principles (PBE-GGA) data for a relaxed Pm6Y12Mg crystal, as listed in Alexandria.

The space group is R-3. The value obtained for the size of the total moment is 0.00 μB per atom.

abc: 8.571 8.571 8.571
angles: 88.76 88.76 88.76
Fractional positions:
Pm 0.202 0.762 0.594
Pm 0.238 0.406 0.798
Pm 0.406 0.798 0.238
Pm 0.594 0.202 0.762
Pm 0.762 0.594 0.202
Pm 0.798 0.238 0.406
Y 0.037 0.937 0.280
Y 0.063 0.720 0.963
Y 0.137 0.485 0.316
Y 0.280 0.037 0.937
Y 0.316 0.137 0.485
Y 0.485 0.316 0.137
Y 0.515 0.684 0.863
Y 0.684 0.863 0.515
Y 0.720 0.963 0.063
Y 0.863 0.515 0.684
Y 0.937 0.280 0.037
Y 0.963 0.063 0.720
Mg 0.500 0.500 0.500

---

The most stable arrangement is entry 2, and the next structure is 19 meV/atom less stable.

---

Entry 1
First-principles (PBE-GGA) data for a relaxed Pm2Y6Mg crystal, as listed in Alexandria.

The space group is C2/m. The value obtained for the size of the total moment is 0.00 μB per atom.

abc: 6.148 6.148 8.506
angles: 101.27 101.27 71.37
Fractional positions:
Pm 0.234 0.234 0.467
Pm 0.766 0.766 0.533
Y 0.217 0.699 0.292
Y 0.301 0.783 0.708
Y 0.322 0.322 0.925
Y 0.678 0.678 0.075
Y 0.699 0.217 0.292
Y 0.783 0.301 0.708
Mg 0.000 0.000 0.000

---

Entry 2
First-principles (PBE-GGA) data for a relaxed Pm2Y6Mg crystal, as listed in Alexandria.

The space group is P4_2/mnm. The value obtained for the size of the total moment is 0.00 μB per atom.

abc: 10.630 10.630 5.079
angles: 90.00 90.00 90.00
Fractional positions:
Pm 0.167 0.167 0.000
Pm 0.333 0.667 0.500
Pm 0.667 0.333 0.500
Pm 0.833 0.833 0.000
Y 0.001 0.333 0.500
Y 0.165 0.835 0.000
Y 0.167 0.501 0.000
Y 0.333 0.001 0.500
Y 0.335 0.335 0.500
Y 0.499 0.833 0.000
Y 0.501 0.167 0.000
Y 0.665 0.665 0.500
Y 0.667 0.999 0.500
Y 0.833 0.499 0.000
Y 0.835 0.165 0.000
Y 0.999 0.667 0.500
Mg 0.000 0.000 0.500
Mg 0.500 0.500 0.000

---

The most stable arrangement is entry 2, and the next structure is 118 meV/atom less stable.